PBE-GGA Sm4GePC2, optimized geometry; magnetic moment = 0.003 μB/atom; calculated total energy = -6.349 eV per atom; crystal system = hexagonal
1.0
3.7548 0.0000 0.0000
-1.8774 3.2518 0.0000
0.0000 0.0000 14.4352
C Ge P Sm
2 1 1 4
direct
0.6667 0.3333 0.2595
0.6667 0.3333 0.7405
0.0000 0.0000 0.0000
0.3333 0.6667 0.5000
0.3333 0.6667 0.1657
0.0000 0.0000 0.3635
0.0000 0.0000 0.6365
0.3333 0.6667 0.8343

=====

PBE-GGA GePW4C2, optimized geometry; magnetic moment = 0.000 μB/atom; calculated total energy = -9.925 eV per atom; crystal system = hexagonal
1.0
-0.6054 2.8394 1.3210
-2.1447 -1.3466 -1.9392
-5.0793 -5.4610 9.4100
C Ge P W
2 1 1 4
direct
0.0000 0.0000 0.2559
0.0000 0.0000 0.7441
0.3333 0.6667 0.0000
0.6667 0.3333 0.5000
0.6667 0.3333 0.1680
0.3333 0.6667 0.3537
0.3333 0.6667 0.6463
0.6667 0.3333 0.8320

=====

PBE-GGA Tm4GePbC2, optimized geometry; magnetic moment = 0.000 μB/atom; calculated total energy = -6.126 eV per atom; crystal system = hexagonal
1.0
3.5646 0.0000 0.0000
-1.7823 3.0871 0.0000
0.0000 0.0000 15.2355
C Ge Pb Tm
2 1 1 4
direct
0.3333 0.6667 0.2609
0.3333 0.6667 0.7391
0.6667 0.3333 0.5000
0.0000 0.0000 0.0000
0.6667 0.3333 0.1784
0.0000 0.0000 0.3510
0.0000 0.0000 0.6490
0.6667 0.3333 0.8216

=====

PBE-GGA Pu5Ge3C, optimized geometry; magnetic moment = 2.815 μB/atom; calculated total energy = -10.866 eV per atom; crystal system = hexagonal
1.0
8.7029 0.0000 0.0000
-4.3515 7.5369 0.0000
0.0000 0.0000 5.8787
C Ge Pu
2 6 10
direct
0.0000 0.0000 0.0000
0.0000 0.0000 0.5000
0.6018 0.0000 0.2500
0.3982 0.3982 0.2500
0.0000 0.6018 0.2500
0.3982 0.0000 0.7500
0.0000 0.3982 0.7500
0.6018 0.6018 0.7500
0.6667 0.3333 0.0000
0.3333 0.6667 0.0000
0.2264 0.0000 0.2500
0.0000 0.2264 0.2500
0.7736 0.7736 0.2500
0.6667 0.3333 0.5000
0.3333 0.6667 0.5000
0.7736 0.0000 0.7500
0.2264 0.2264 0.7500
0.0000 0.7736 0.7500

=====

Which of these has the highest magnetic moment?
Pu5Ge3C